[1]
# InIrPt14, relaxed, DFT PBE
data_InIrPt14
_chemical_formula_sum 'In1 Ir1 Pt14'
_symmetry_space_group_name_H-M 'P 1'
_symmetry_Int_Tables_number 1
_symmetry_space_group_name_Hall 'P 1'
_cell_length_a 9.293
_cell_length_b 5.609
_cell_length_c 5.609
_cell_angle_alpha 60.23
_cell_angle_beta 90.00
_cell_angle_gamma 90.00
loop_
_atom_site_label
_atom_site_type_symbol
_atom_site_fract_x
_atom_site_fract_y
_atom_site_fract_z
In1 In 0.000 0.000 0.000
Ir1 Ir 0.000 0.498 0.498
Pt1 Pt 0.000 0.001 0.501
Pt2 Pt 0.000 0.501 0.001
Pt3 Pt 0.247 0.333 0.333
Pt4 Pt 0.248 0.334 0.830
Pt5 Pt 0.248 0.830 0.334
Pt6 Pt 0.252 0.832 0.832
Pt7 Pt 0.500 0.164 0.164
Pt8 Pt 0.500 0.164 0.664
Pt9 Pt 0.500 0.663 0.663
Pt10 Pt 0.500 0.664 0.164
Pt11 Pt 0.748 0.832 0.832
Pt12 Pt 0.752 0.334 0.830
Pt13 Pt 0.752 0.830 0.334
Pt14 Pt 0.753 0.333 0.333
# Space group ... Amm2, No. 38
# Calculated formation energy ... -0.04 eV/atom

[2]
# InIrPt2, relaxed, DFT PBE
data_InIrPt2
_chemical_formula_sum 'In1 Ir1 Pt2'
_symmetry_space_group_name_H-M 'P 1'
_symmetry_Int_Tables_number 1
_symmetry_space_group_name_Hall 'P 1'
_cell_length_a 4.899
_cell_length_b 4.899
_cell_length_c 4.899
_cell_angle_alpha 130.84
_cell_angle_beta 130.84
_cell_angle_gamma 72.07
loop_
_atom_site_label
_atom_site_type_symbol
_atom_site_fract_x
_atom_site_fract_y
_atom_site_fract_z
In1 In 0.000 0.000 0.000
Ir1 Ir 0.500 0.500 0.000
Pt1 Pt 0.250 0.750 0.500
Pt2 Pt 0.750 0.250 0.500
# Space group ... I4/mmm, No. 139
# Calculated formation energy ... -0.08 eV/atom

Total energy, record by record: -6.05 -6.00 eV/atom